No. 1
Material: LaSm2Tl
Method: DFT, GGA-PBE
State: relaxed

POSCAR file:
```
LaSm2Tl
1.0
-0.417 2.788 -2.442
-3.704 -0.392 0.185
-0.293 6.040 6.945
Sm Tl La
2 1 1
direct
0.000 0.000 0.776
0.000 0.000 0.224
0.500 0.500 0.000
0.500 0.500 0.500
```

Output
Distance to the lowest polymorph of the same formula   24.9 meV/atom
SG   P4/mmm

No. 2
Material: LaSm6Tl5
Method: DFT, GGA-PBE
State: relaxed

POSCAR file:
```
LaSm6Tl5
1.0
5.066 -0.029 1.688
0.042 8.126 0.014
-0.078 -0.015 8.681
Tl Sm La
5 6 1
direct
0.331 0.500 0.338
0.352 0.000 0.296
0.669 0.500 0.662
0.000 0.500 0.000
0.648 0.000 0.704
0.500 0.728 0.000
0.826 0.248 0.348
0.826 0.752 0.348
0.500 0.272 0.000
0.174 0.248 0.652
0.174 0.752 0.652
0.000 0.000 0.000
```

Output
Distance to the lowest polymorph of the same formula   12.7 meV/atom
SG   Cmmm